# CsAg2Bi2, PBEsol geometry, DFT SCAN
# **Energy relative to the elements**: -14.3 kJ per mole of atoms
data_CsAg2Bi2
_chemical_formula_sum 'Cs2 Ag4 Bi4'
_cell_length_a 5.033
_cell_length_b 5.033
_cell_length_c 11.945
_cell_angle_alpha 90.00
_cell_angle_beta 90.00
_cell_angle_gamma 90.00
_symmetry_space_group_name_H-M 'I 4/m m m'
_symmetry_Int_Tables_number 139
_symmetry_space_group_name_Hall '-I 4 2'
loop_
_atom_site_label
_atom_site_fract_x
_atom_site_fract_y
_atom_site_fract_z
_atom_site_occupancy
Cs1 0.000 0.000 0.000 1
Ag1 0.000 0.500 0.250 1
Bi1 0.000 0.000 0.370 1